No. 1
The following is a PBE calculation of Pr2NpGe4Pt3 after structural relaxation, from Alexandria.

Calculated formation energy in eV per atom: -0.709
Total energy in eV/cell: -66.19

abc: 4.3226 4.3226 11.4457
angles: 90.00 90.00 90.00
Last column: nearest neighbours and their distance in Å.
Fractional coordinates of all 10 atoms:
Ge 0.0000 0.5000 0.3325  1 Pt 2.48
Ge 0.5000 0.5000 0.0000  4 Pt 2.53
Ge 0.0000 0.0000 0.0000  4 Pt 2.53
Ge 0.5000 0.0000 0.6675  1 Pt 2.48
Pt 0.0000 0.0000 0.5000  4 Ge 2.89, 4 Np 3.06
Pt 0.0000 0.5000 0.1156  5 Ge 2.48-2.53
Pt 0.5000 0.0000 0.8844  5 Ge 2.48-2.53
Pr 0.5000 0.0000 0.2301  8 Ge 3.27-3.41, 4 Pt 3.33
Pr 0.0000 0.5000 0.7699  8 Ge 3.27-3.41, 4 Pt 3.33
Np 0.5000 0.5000 0.5000  4 Ge 2.89, 4 Pt 3.06

=====

No. 2
The following is a PBE calculation of NpGePt4 after structural relaxation, from Alexandria.

Calculated formation energy in eV per atom: -0.397
Total energy in eV/cell: -88.21
Energy above the most stable polymorph in this dataset in meV per atom: 75

abc: 5.3055 6.7940 7.0904
angles: 118.63 103.57 90.00
Last column: nearest neighbours and their distance in Å.
Fractional coordinates of all 12 atoms:
Pt 0.0000 0.8013 0.0000  2 Ge 2.50, 1 Pt 2.70
Pt 0.6123 0.9215 0.2437  1 Ge 2.53, 2 Pt 2.72-2.79
Pt 0.7302 0.3246 0.6493  2 Ge 2.59-2.78, 2 Pt 2.79
Pt 0.2698 0.6754 0.3507  2 Ge 2.59-2.78, 2 Pt 2.79
Pt 0.0000 0.1987 0.0000  2 Ge 2.50, 1 Pt 2.70
Pt 0.6123 0.3222 0.2437  1 Ge 2.53, 2 Pt 2.72-2.79
Pt 0.3877 0.0785 0.7563  1 Ge 2.53, 2 Pt 2.72-2.79
Pt 0.3877 0.6778 0.7563  1 Ge 2.53, 2 Pt 2.72-2.79
Np 0.8361 0.7897 0.5795  10 Pt 2.87-3.18, 1 Ge 3.08
Np 0.1639 0.2103 0.4205  10 Pt 2.87-3.18, 1 Ge 3.08
Ge 0.7629 0.5357 0.0713  6 Pt 2.50-2.78, 1 Ge 2.69
Ge 0.2371 0.4643 0.9287  6 Pt 2.50-2.78, 1 Ge 2.69

=====

No. 3
The following is a PBE calculation of NpGe3Pt3 after structural relaxation, from Alexandria.

Calculated formation energy in eV per atom: -0.136
Total energy in eV/cell: -91.73

abc: 6.8215 6.8215 6.8215
angles: 90.00 90.00 90.00
Last column: nearest neighbours and their distance in Å.
Fractional coordinates of all 14 atoms:
Pt 0.2500 0.5000 0.0000  4 Ge 2.41
Pt 0.0000 0.7500 0.5000  4 Ge 2.41
Pt 0.7500 0.5000 0.0000  4 Ge 2.41
Pt 0.0000 0.2500 0.5000  4 Ge 2.41
Pt 0.5000 0.0000 0.2500  4 Ge 2.41
Pt 0.5000 0.0000 0.7500  4 Ge 2.41
Ge 0.0000 0.5000 0.7500  4 Pt 2.41
Ge 0.2500 0.0000 0.5000  4 Pt 2.41
Ge 0.5000 0.2500 0.0000  4 Pt 2.41
Ge 0.0000 0.5000 0.2500  4 Pt 2.41
Ge 0.5000 0.7500 0.0000  4 Pt 2.41
Ge 0.7500 0.0000 0.5000  4 Pt 2.41
Np 0.5000 0.5000 0.5000  12 Ge 3.81, 12 Pt 3.81
Np 0.0000 0.0000 0.0000  12 Ge 3.81, 12 Pt 3.81

=====

No. 4
The following is a PBE calculation of NpGePt3 after structural relaxation, from Alexandria.

Calculated formation energy in eV per atom: -0.360
Total energy in eV/cell: -74.96
Energy above the most stable polymorph in this dataset in meV per atom: 215

abc: 6.3033 6.3033 6.3033
angles: 64.91 64.91 64.91
Last column: nearest neighbours and their distance in Å.
Fractional coordinates of all 10 atoms:
Pt 0.2880 0.1553 0.8188  2 Ge 2.43-2.56
Pt 0.1553 0.8188 0.2880  2 Ge 2.43-2.56
Pt 0.8188 0.2880 0.1553  2 Ge 2.43-2.56
Pt 0.7880 0.3188 0.6553  2 Ge 2.43-2.56
Pt 0.6553 0.7880 0.3188  2 Ge 2.43-2.56
Pt 0.3188 0.6553 0.7880  2 Ge 2.43-2.56
Np 0.7549 0.7549 0.7549  6 Pt 2.96-2.98, 1 Ge 2.96
Np 0.2549 0.2549 0.2549  6 Pt 2.96-2.98, 1 Ge 2.96
Ge 0.9545 0.9545 0.9545  6 Pt 2.43-2.56
Ge 0.4545 0.4545 0.4545  6 Pt 2.43-2.56

=====

No. 5
The following is a PBE calculation of Np2GePt after structural relaxation, from Alexandria.

Calculated formation energy in eV per atom: -0.378
Total energy in eV/cell: -38.05

abc: 3.8419 3.8419 5.5608
angles: 90.00 90.00 90.00
Last column: nearest neighbours and their distance in Å.
Fractional coordinates of all 4 atoms:
Np 0.0000 0.0000 0.7547  2 Np 2.73-2.83, 4 Ge 3.04
Np 0.0000 0.0000 0.2453  2 Np 2.73-2.83, 4 Ge 3.04
Pt 0.5000 0.5000 0.5000  2 Ge 2.78, 8 Np 3.06
Ge 0.5000 0.5000 0.0000  2 Pt 2.78, 8 Np 3.04

=====

No. 6
The following is a PBE calculation of NpGe12Pt4 after structural relaxation, from Alexandria.

Calculated formation energy in eV per atom: -0.291
Total energy in eV/cell: -97.46

abc: 7.5290 7.5290 7.5290
angles: 109.47 109.47 109.47
Last column: nearest neighbours and their distance in Å.
Fractional coordinates of all 17 atoms:
Ge 0.6476 0.4983 0.8506  2 Pt 2.51, 2 Ge 2.57-2.60
Ge 0.6476 0.7970 0.1494  2 Pt 2.51, 2 Ge 2.57-2.60
Ge 0.3524 0.5017 0.1494  2 Pt 2.51, 2 Ge 2.57-2.60
Ge 0.2030 0.8506 0.3524  2 Pt 2.51, 2 Ge 2.57-2.60
Ge 0.8506 0.6476 0.4983  2 Pt 2.51, 2 Ge 2.57-2.60
Ge 0.1494 0.6476 0.7970  2 Pt 2.51, 2 Ge 2.57-2.60
Ge 0.1494 0.3524 0.5017  2 Pt 2.51, 2 Ge 2.57-2.60
Ge 0.4983 0.8506 0.6476  2 Pt 2.51, 2 Ge 2.57-2.60
Ge 0.5017 0.1494 0.3524  2 Pt 2.51, 2 Ge 2.57-2.60
Ge 0.7970 0.1494 0.6476  2 Pt 2.51, 2 Ge 2.57-2.60
Ge 0.8506 0.3524 0.2030  2 Pt 2.51, 2 Ge 2.57-2.60
Ge 0.3524 0.2030 0.8506  2 Pt 2.51, 2 Ge 2.57-2.60
Pt 0.0000 0.0000 0.5000  6 Ge 2.51
Pt 0.5000 0.0000 0.0000  6 Ge 2.51
Pt 0.0000 0.5000 0.0000  6 Ge 2.51
Pt 0.5000 0.5000 0.5000  6 Ge 2.51
Np 0.0000 0.0000 0.0000  12 Ge 3.33

=====

No. 7
The following is a PBE calculation of NpGePt4 after structural relaxation, from Alexandria.

Calculated formation energy in eV per atom: -0.406
Total energy in eV/cell: -44.15
Energy above the most stable polymorph in this dataset in meV per atom: 66

abc: 5.3675 5.3675 5.3675
angles: 60.00 60.00 60.00
Last column: nearest neighbours and their distance in Å.
Fractional coordinates of all 6 atoms:
Pt 0.6251 0.6251 0.6251  6 Pt 2.68-2.69
Pt 0.6251 0.1246 0.6251  6 Pt 2.68-2.69
Pt 0.1246 0.6251 0.6251  6 Pt 2.68-2.69
Pt 0.6251 0.6251 0.1246  6 Pt 2.68-2.69
Np 0.2500 0.2500 0.2500  12 Pt 3.15, 4 Ge 3.29
Ge 0.0000 0.0000 0.0000  12 Pt 3.15, 4 Np 3.29

=====

No. 8
The following is a PBE calculation of Np3Ge2Pt4 after structural relaxation, from Alexandria.

Calculated formation energy in eV per atom: -0.606
Total energy in eV/cell: -77.68

abc: 4.7176 5.5417 8.6441
angles: 121.78 90.00 115.19
Last column: nearest neighbours and their distance in Å.
Fractional coordinates of all 9 atoms:
Np 0.0000 0.0000 0.0000  2 Np 2.94, 8 Pt 3.03-3.18, 4 Ge 3.12
Np 0.6550 0.3101 0.6696  2 Np 2.77-2.94, 1 Ge 3.02, 5 Pt 3.03-3.07
Np 0.3450 0.6899 0.3304  2 Np 2.77-2.94, 1 Ge 3.02, 5 Pt 3.03-3.07
Ge 0.3760 0.7522 0.7107  4 Pt 2.62-2.70
Ge 0.6240 0.2478 0.2893  4 Pt 2.62-2.70
Pt 0.7157 0.4313 0.0604  1 Ge 2.62, 2 Pt 2.82
Pt 0.2843 0.5687 0.9396  1 Ge 2.62, 2 Pt 2.82
Pt 0.0662 0.1323 0.3901  3 Ge 2.69-2.70, 2 Pt 2.88-2.97
Pt 0.9338 0.8677 0.6099  3 Ge 2.69-2.70, 2 Pt 2.88-2.97